Record 1
Computed, not measured: a relaxed Zr2TiZn2 crystal at the PBE-GGA level of DFT.

Values from the calculation:
Theoretical density: 6.13 g/cm3
Symmetry: P4/mbm (127)

Cell lengths 7.9765, 7.9765, 3.0758 Å; angles 90.00, 90.00, 90.00 degrees
Each line ends with the local moment (μB).
Sites, in units of the cell vectors:
1 Zn 0.1653 0.6653 0.5000  -0.01
2 Zn 0.6653 0.8347 0.5000  -0.02
3 Zn 0.8347 0.3347 0.5000  -0.01
4 Zn 0.3347 0.1653 0.5000  -0.02
5 Zr 0.3644 0.8644 0.0000  0.13
6 Zr 0.8644 0.6356 0.0000  0.10
7 Zr 0.6356 0.1356 0.0000  0.13
8 Zr 0.1356 0.3644 0.0000  0.10
9 Ti 0.0000 0.0000 0.0000  1.21
10 Ti 0.5000 0.5000 0.0000  1.21

---

Record 2
Computed, not measured: a relaxed ZrTi crystal at the PBE-GGA level of DFT.

Values from the calculation:
Theoretical density: 5.41 g/cm3
Symmetry: Fm-3m (225)

Cell lengths 5.5475, 5.5475, 5.5475 Å; angles 90.00, 90.00, 90.00 degrees
Sites, in units of the cell vectors:
1 Zr 0.5000 0.5000 0.5000
2 Zr 0.5000 0.0000 0.0000
3 Zr 0.0000 0.5000 0.0000
4 Zr 0.0000 0.0000 0.5000
5 Ti 0.0000 0.0000 0.0000
6 Ti 0.0000 0.5000 0.5000
7 Ti 0.5000 0.0000 0.5000
8 Ti 0.5000 0.5000 0.0000

---

Record 3
Computed, not measured: a relaxed ZrTi crystal at the PBE-GGA level of DFT.

Values from the calculation:
Theoretical density: 5.40 g/cm3
Symmetry: P6_3/m (176)

Cell lengths 9.9510, 9.9510, 2.9952 Å; angles 90.00, 90.00, 120.00 degrees
Sites, in units of the cell vectors:
1 Zr 0.8587 0.3683 0.2500
2 Zr 0.4905 0.8587 0.7500
3 Zr 0.6317 0.4905 0.2500
4 Zr 0.1413 0.6317 0.7500
5 Zr 0.5095 0.1413 0.2500
6 Zr 0.3683 0.5095 0.7500
7 Ti 0.7922 0.0562 0.2500
8 Ti 0.7360 0.7922 0.7500
9 Ti 0.9438 0.7360 0.2500
10 Ti 0.2078 0.9438 0.7500
11 Ti 0.2640 0.2078 0.2500
12 Ti 0.0562 0.2640 0.7500

---

Record 4
Computed, not measured: a relaxed ZrTi crystal at the PBE-GGA level of DFT.

Values from the calculation:
Theoretical density: 5.38 g/cm3
Symmetry: P4_2/mnm (136)

Cell lengths 5.5345, 5.5345, 5.6089 Å; angles 90.00, 90.00, 90.00 degrees
Sites, in units of the cell vectors:
1 Zr 0.1825 0.1825 0.0000
2 Zr 0.6825 0.3175 0.5000
3 Zr 0.3175 0.6825 0.5000
4 Zr 0.8175 0.8175 0.0000
5 Ti 0.3273 0.6727 0.0000
6 Ti 0.8273 0.8273 0.5000
7 Ti 0.1727 0.1727 0.5000
8 Ti 0.6727 0.3273 0.0000

---

Record 5
Computed, not measured: a relaxed ZrTi crystal at the PBE-GGA level of DFT.

Values from the calculation:
Theoretical density: 5.54 g/cm3
Symmetry: Fddd (70)

Cell lengths 7.4717, 8.4497, 10.5688 Å; angles 90.00, 90.00, 90.00 degrees
Sites, in units of the cell vectors:
1 Zr 0.0000 0.8235 0.0000
2 Zr 0.0000 0.1765 0.0000
3 Zr 0.2500 0.9265 0.2500
4 Zr 0.2500 0.5735 0.2500
5 Zr 0.0000 0.3235 0.5000
6 Zr 0.0000 0.6765 0.5000
7 Zr 0.2500 0.4265 0.7500
8 Zr 0.2500 0.0735 0.7500
9 Zr 0.5000 0.8235 0.5000
10 Zr 0.5000 0.1765 0.5000
11 Zr 0.7500 0.9265 0.7500
12 Zr 0.7500 0.5735 0.7500
13 Zr 0.5000 0.3235 0.0000
14 Zr 0.5000 0.6765 0.0000
15 Zr 0.7500 0.4265 0.2500
16 Zr 0.7500 0.0735 0.2500
17 Ti 0.3386 0.0000 0.0000
18 Ti 0.6614 0.0000 0.0000
19 Ti 0.9114 0.7500 0.2500
20 Ti 0.5886 0.7500 0.2500
21 Ti 0.3386 0.5000 0.5000
22 Ti 0.6614 0.5000 0.5000
23 Ti 0.9114 0.2500 0.7500
24 Ti 0.5886 0.2500 0.7500
25 Ti 0.8386 0.0000 0.5000
26 Ti 0.1614 0.0000 0.5000
27 Ti 0.4114 0.7500 0.7500
28 Ti 0.0886 0.7500 0.7500
29 Ti 0.8386 0.5000 0.0000
30 Ti 0.1614 0.5000 0.0000
31 Ti 0.4114 0.2500 0.2500
32 Ti 0.0886 0.2500 0.2500

---

Record 6
Computed, not measured: a relaxed ZrTi crystal at the PBE-GGA level of DFT.

Values from the calculation:
Theoretical density: 5.65 g/cm3
Symmetry: P-6m2 (187)

Cell lengths 3.1055, 3.1055, 4.8969 Å; angles 90.00, 90.00, 60.00 degrees
Sites, in units of the cell vectors:
1 Zr 0.6667 0.6667 0.7500
2 Ti 0.3333 0.3333 0.2500

---

Record 7
Computed, not measured: a relaxed ZrTi crystal at the PBE-GGA level of DFT.

Values from the calculation:
Theoretical density: 4.64 g/cm3
Symmetry: I4/m (87)

Cell lengths 11.5700, 11.5700, 2.9716 Å; angles 90.00, 90.00, 90.00 degrees
Sites, in units of the cell vectors:
1 Zr 0.4340 0.1529 0.0000
2 Zr 0.5660 0.8471 0.0000
3 Zr 0.8471 0.4340 0.0000
4 Zr 0.1529 0.5660 0.0000
5 Zr 0.9340 0.6529 0.5000
6 Zr 0.0660 0.3471 0.5000
7 Zr 0.3471 0.9340 0.5000
8 Zr 0.6529 0.0660 0.5000
9 Ti 0.3484 0.7150 0.0000
10 Ti 0.6516 0.2850 0.0000
11 Ti 0.2850 0.3484 0.0000
12 Ti 0.7150 0.6516 0.0000
13 Ti 0.8484 0.2150 0.5000
14 Ti 0.1516 0.7850 0.5000
15 Ti 0.7850 0.8484 0.5000
16 Ti 0.2150 0.1516 0.5000

---

Record 8
Computed, not measured: a relaxed ZrTi crystal at the PBE-GGA level of DFT.

Values from the calculation:
Theoretical density: 5.66 g/cm3
Symmetry: Cmcm (63)

Cell lengths 3.0709, 11.2288, 4.7359 Å; angles 90.00, 90.00, 90.00 degrees
Sites, in units of the cell vectors:
1 Zr 0.0000 0.3262 0.2500
2 Zr 0.0000 0.6738 0.7500
3 Zr 0.5000 0.8262 0.2500
4 Zr 0.5000 0.1738 0.7500
5 Ti 0.0000 0.0632 0.2500
6 Ti 0.0000 0.9368 0.7500
7 Ti 0.5000 0.5632 0.2500
8 Ti 0.5000 0.4368 0.7500

---

Record 9
Computed, not measured: a relaxed Zr2Ti crystal at the PBE-GGA level of DFT.

Values from the calculation:
Theoretical density: 5.24 g/cm3
Symmetry: P4_2/mnm (136)

Cell lengths 2.9549, 7.0296, 7.0293 Å; angles 90.00, 89.99, 90.00 degrees
Sites, in units of the cell vectors:
1 Zr 0.5000 0.2647 0.7352
2 Zr 0.0001 0.7647 0.7648
3 Zr 0.9999 0.2353 0.2352
4 Zr 0.5000 0.7353 0.2648
5 Ti 0.0000 0.5000 0.5000
6 Ti 0.5000 0.0000 0.0000

---

Record 10
Computed, not measured: a relaxed ZrTi crystal at the PBE-GGA level of DFT.

Values from the calculation:
Theoretical density: 5.69 g/cm3
Symmetry: C2/m (12)

Cell lengths 3.6441, 5.9415, 10.1068 Å; angles 151.98, 57.26, 127.87 degrees
Each line ends with the local moment (μB).
Sites, in units of the cell vectors:
1 Zr 0.2509 0.6037 0.2350  0.01
2 Zr 0.7491 0.3963 0.7650  0.01
3 Ti 0.2520 0.1933 0.2942  0.64
4 Ti 0.7480 0.8067 0.7058  0.64

---

Record 11
Computed, not measured: a relaxed ZrTi crystal at the PBE-GGA level of DFT.

Values from the calculation:
Theoretical density: 5.70 g/cm3
Symmetry: P4/mmm (123)

Cell lengths 3.1197, 3.1197, 4.1641 Å; angles 90.00, 90.00, 90.00 degrees
Sites, in units of the cell vectors:
1 Zr 0.5000 0.5000 0.5000
2 Ti 0.0000 0.0000 0.0000

---

Record 12
Computed, not measured: a relaxed Zr3Ti13 crystal at the PBE-GGA level of DFT.

Values from the calculation:
Theoretical density: 5.04 g/cm3
Symmetry: Amm2 (38)

Cell lengths 7.0258, 7.0258, 6.0030 Å; angles 90.00, 90.00, 94.84 degrees
Sites, in units of the cell vectors:
1 Zr 0.9662 0.0338 0.2543
2 Zr 0.7039 0.2961 0.0000
3 Zr 0.9662 0.0338 0.7457
4 Ti 0.5339 0.9544 0.2553
5 Ti 0.4525 0.5475 0.2513
6 Ti 0.0456 0.4661 0.2553
7 Ti 0.7823 0.7069 0.0000
8 Ti 0.2931 0.2177 0.0000
9 Ti 0.2152 0.7848 0.0000
10 Ti 0.5338 0.9544 0.7447
11 Ti 0.4525 0.5475 0.7487
12 Ti 0.0456 0.4662 0.7447
13 Ti 0.7052 0.2948 0.5000
14 Ti 0.7844 0.6947 0.5000
15 Ti 0.3053 0.2156 0.5000
16 Ti 0.2146 0.7854 0.5000

---

Number 1: D(E_F) 3.65 states/eV/f.u., raw total energy -5.378 eV/atom, energy of formation from the pure elements 0.13 eV per atom. Number 2: D(E_F) 2.81 states/eV/f.u., raw total energy -7.397 eV/atom, energy of formation from the pure elements 0.82 eV per atom. Number 3: D(E_F) 3.08 states/eV/f.u., raw total energy -7.864 eV/atom, energy of formation from the pure elements 0.36 eV per atom. Number 4: D(E_F) 3.46 states/eV/f.u., raw total energy -7.668 eV/atom, energy of formation from the pure elements 0.55 eV per atom. Number 5: D(E_F) 2.86 states/eV/f.u., raw total energy -7.848 eV/atom, energy of formation from the pure elements 0.37 eV per atom. Number 6: D(E_F) 2.01 states/eV/f.u., raw total energy -8.141 eV/atom, energy of formation from the pure elements 0.08 eV per atom. Number 7: D(E_F) 2.72 states/eV/f.u., raw total energy -7.756 eV/atom, energy of formation from the pure elements 0.47 eV per atom. Number 8: D(E_F) 2.42 states/eV/f.u., raw total energy -8.181 eV/atom, energy of formation from the pure elements 0.04 eV per atom. Number 9: D(E_F) 3.33 states/eV/f.u., raw total energy -7.695 eV/atom, energy of formation from the pure elements 0.64 eV per atom. Number 10: D(E_F) 2.97 states/eV/f.u., raw total energy -8.129 eV/atom, energy of formation from the pure elements 0.09 eV per atom. Number 11: D(E_F) 3.50 states/eV/f.u., raw total energy -8.130 eV/atom, energy of formation from the pure elements 0.09 eV per atom. Number 12: D(E_F) 15.62 states/eV/f.u., raw total energy -7.977 eV/atom, energy of formation from the pure elements 0.04 eV per atom.